#a
Density functional theory data (GGA-PBE) for a geometry-optimized SrTm2Cu structure.

a = 3.5285 Å, b = 3.5285 Å, c = 9.4467 Å
α = 90.00°, β = 90.00°, γ = 90.00°
Positions (direct):
Cu (0.5000, 0.5000, 0.0000)
Tm (0.0000, 0.0000, 0.8287)
Tm (0.0000, 0.0000, 0.1713)
Sr (0.5000, 0.5000, 0.5000)

=====

#b
Density functional theory data (GGA-PBE) for a geometry-optimized SrTm2Cu structure.

a = 3.7365 Å, b = 3.7365 Å, c = 10.9232 Å
α = 80.15°, β = 80.15°, γ = 60.00°
Positions (direct):
Cu (0.5000, 0.5000, 0.5000)
Tm (0.8878, 0.8878, 0.3366)
Tm (0.1122, 0.1122, 0.6634)
Sr (0.0000, 0.0000, 0.0000)

=====

Ranked by calculated energy, most stable first: #a, #b.

=====

#a
Density functional theory data (GGA-PBE) for a geometry-optimized SrV2Cu2 structure.

a = 4.7405 Å, b = 4.7405 Å, c = 5.4143 Å
α = 64.04°, β = 64.04°, γ = 90.00°
Last column: magnetic moment on the atom in μB.
Positions (direct):
Cu (0.2500, 0.7500, 0.5000)  0.02
Cu (0.7500, 0.2500, 0.5000)  0.02
V (0.3882, 0.3882, 0.2237)  0.26
V (0.6118, 0.6118, 0.7763)  0.26
Sr (0.0000, 0.0000, 0.0000)  0.01

=====

#b
Density functional theory data (GGA-PBE) for a geometry-optimized SrV2Cu2 structure.

a = 7.7162 Å, b = 7.7162 Å, c = 2.9157 Å
α = 90.00°, β = 90.00°, γ = 90.00°
Positions (direct):
Cu (0.6983, 0.8017, 0.5000)
Cu (0.1983, 0.6983, 0.5000)
Cu (0.8017, 0.3017, 0.5000)
Cu (0.3017, 0.1983, 0.5000)
V (0.5900, 0.0900, 0.0000)
V (0.0900, 0.4100, 0.0000)
V (0.4100, 0.9100, 0.0000)
V (0.9100, 0.5900, 0.0000)
Sr (0.5000, 0.5000, 0.0000)
Sr (0.0000, 0.0000, 0.0000)

=====

Ranked by calculated energy, most stable first: #b, #a.

=====

#a
Density functional theory data (GGA-PBE) for a geometry-optimized SrVCu3 structure.

a = 5.0873 Å, b = 5.0873 Å, c = 5.0873 Å
α = 90.00°, β = 90.00°, γ = 90.00°
Last column: magnetic moment on the atom in μB.
Positions (direct):
V (0.5000, 0.5000, 0.5000)  2.94
Sr (0.0000, 0.0000, 0.0000)  -0.04
Cu (0.0000, 0.0000, 0.5000)  -0.04
Cu (0.5000, 0.0000, 0.0000)  -0.04
Cu (0.0000, 0.5000, 0.0000)  -0.04

=====

#b
Density functional theory data (GGA-PBE) for a geometry-optimized SrVCu3 structure.

a = 4.7586 Å, b = 4.7586 Å, c = 4.7586 Å
α = 90.00°, β = 90.00°, γ = 90.00°
Last column: magnetic moment on the atom in μB.
Positions (direct):
Cu (0.0000, 0.0000, 0.5000)  0.06
Cu (0.5000, 0.0000, 0.0000)  0.06
Cu (0.0000, 0.5000, 0.0000)  0.06
V (0.0000, 0.0000, 0.0000)  1.98
Sr (0.5000, 0.5000, 0.5000)  -0.01

=====

Ranked by calculated energy, most stable first: #b, #a.

=====

#a
Density functional theory data (GGA-PBE) for a geometry-optimized SrV2Cu structure.

a = 4.2860 Å, b = 4.2860 Å, c = 10.2092 Å
α = 77.88°, β = 77.88°, γ = 90.00°
Positions (direct):
Cu (0.2500, 0.7500, 0.5000)
Cu (0.5000, 0.5000, 0.0000)
V (0.3751, 0.1250, 0.2500)
V (0.3749, 0.6250, 0.2500)
V (0.3750, 0.6249, 0.7500)
V (0.8750, 0.6251, 0.7500)
Sr (0.7500, 0.2500, 0.5000)
Sr (0.0000, 0.0000, 0.0000)

=====

#b
Density functional theory data (GGA-PBE) for a geometry-optimized SrV2Cu structure.

a = 4.8060 Å, b = 4.8060 Å, c = 4.8060 Å
α = 60.00°, β = 60.00°, γ = 60.00°
Last column: magnetic moment on the atom in μB.
Positions (direct):
Sr (0.5000, 0.5000, 0.5000)  0.18
Cu (0.0000, 0.0000, 0.0000)  0.09
V (0.7500, 0.7500, 0.7500)  2.44
V (0.2500, 0.2500, 0.2500)  2.44

=====

Ranked by calculated energy, most stable first: #a, #b.

=====

#a
Density functional theory data (GGA-PBE) for a geometry-optimized SrCuW structure.

a = 4.9402 Å, b = 4.9402 Å, c = 2.8743 Å
α = 90.00°, β = 90.00°, γ = 120.00°
Last column: magnetic moment on the atom in μB.
Positions (direct):
Sr (0.6667, 0.3333, 0.3335)  0.04
W (0.3333, 0.6667, 0.8339)  0.49
Cu (0.0000, 0.0000, 0.8326)  0.04

=====

#b
Density functional theory data (GGA-PBE) for a geometry-optimized SrCuW structure.

a = 3.0703 Å, b = 3.0703 Å, c = 7.3513 Å
α = 90.00°, β = 90.00°, γ = 120.00°
Positions (direct):
Sr (0.6667, 0.3333, 0.3320)
Cu (0.0000, 0.0000, 0.9669)
W (0.3333, 0.6667, 0.7011)

=====

#c
Density functional theory data (GGA-PBE) for a geometry-optimized SrCuW structure.

a = 5.0831 Å, b = 5.0831 Å, c = 5.0831 Å
α = 60.00°, β = 60.00°, γ = 60.00°
Last column: magnetic moment on the atom in μB.
Positions (direct):
W (0.0000, 0.0000, 0.0000)  3.16
Cu (0.5000, 0.5000, 0.5000)  0.08
Sr (0.7500, 0.7500, 0.7500)  0.16

=====

Ranked by calculated energy, most stable first: #b, #a, #c.

=====

#a
Density functional theory data (GGA-PBE) for a geometry-optimized Sr2CuW structure.

a = 8.4617 Å, b = 8.4617 Å, c = 6.7378 Å
α = 51.10°, β = 51.10°, γ = 90.00°
Last column: magnetic moment on the atom in μB.
Positions (direct):
Sr (0.3750, 0.4113, 0.7500)  0.02
Sr (0.8750, 0.8387, 0.7500)  0.01
Sr (0.5887, 0.1250, 0.2500)  0.02
Sr (0.1613, 0.6250, 0.2500)  0.02
Cu (0.2500, 0.7500, 0.5000)  0.04
Cu (0.5000, 0.5000, 0.0000)  0.04
W (0.0000, 0.0000, 0.0000)  2.28
W (0.7500, 0.2500, 0.5000)  2.28

=====

#b
Density functional theory data (GGA-PBE) for a geometry-optimized Sr2CuW structure.

a = 10.2688 Å, b = 10.2688 Å, c = 10.2688 Å
α = 18.96°, β = 18.96°, γ = 18.96°
Positions (direct):
Sr (0.4976, 0.4976, 0.4976)
Sr (0.0024, 0.0024, 0.0024)
Cu (0.7500, 0.7500, 0.7500)
W (0.2500, 0.2500, 0.2500)

=====

#c
Density functional theory data (GGA-PBE) for a geometry-optimized Sr2CuW structure.

a = 5.3981 Å, b = 5.3981 Å, c = 5.3981 Å
α = 60.00°, β = 60.00°, γ = 60.00°
Last column: magnetic moment on the atom in μB.
Positions (direct):
Sr (0.7500, 0.7500, 0.7500)  0.03
Sr (0.2500, 0.2500, 0.2500)  0.03
W (0.5000, 0.5000, 0.5000)  2.29
Cu (0.0000, 0.0000, 0.0000)  0.03

=====

Ranked by calculated energy, most stable first: #c, #b, #a.

=====

#a
Density functional theory data (GGA-PBE) for a geometry-optimized SrCu2W2 structure.

a = 3.8704 Å, b = 3.8704 Å, c = 6.8676 Å
α = 73.63°, β = 73.63°, γ = 90.00°
Positions (direct):
Cu (0.6062, 0.6062, 0.7877)
Cu (0.3938, 0.3938, 0.2123)
W (0.2500, 0.7500, 0.5000)
W (0.7500, 0.2500, 0.5000)
Sr (0.0000, 0.0000, 0.0000)

=====

#b
Density functional theory data (GGA-PBE) for a geometry-optimized SrCu2W2 structure.

a = 4.6945 Å, b = 4.6945 Å, c = 5.6704 Å
α = 65.55°, β = 65.55°, γ = 90.00°
Positions (direct):
Cu (0.2500, 0.7500, 0.5000)
Cu (0.7500, 0.2500, 0.5000)
Sr (0.0000, 0.0000, 0.0000)
W (0.6275, 0.6275, 0.7449)
W (0.3725, 0.3725, 0.2551)

=====

Ranked by calculated energy, most stable first: #a, #b.

=====

#a
Density functional theory data (GGA-PBE) for a geometry-optimized SrY2Cu2 structure.

a = 5.1571 Å, b = 5.1571 Å, c = 6.6562 Å
α = 67.21°, β = 67.21°, γ = 90.00°
Last column: magnetic moment on the atom in μB.
Positions (direct):
Cu (0.7500, 0.2500, 0.5000)  0.02
Cu (0.2500, 0.7500, 0.5000)  0.02
Y (0.6580, 0.6580, 0.6840)  0.26
Y (0.3420, 0.3420, 0.3160)  0.26
Sr (0.0000, 0.0000, 0.0000)  0.04

=====

#b
Density functional theory data (GGA-PBE) for a geometry-optimized SrY2Cu2 structure.

a = 8.5682 Å, b = 8.5682 Å, c = 3.3561 Å
α = 90.00°, β = 90.00°, γ = 90.00°
Positions (direct):
Cu (0.8434, 0.3434, 0.5000)
Cu (0.6566, 0.8434, 0.5000)
Cu (0.3434, 0.1566, 0.5000)
Cu (0.1566, 0.6566, 0.5000)
Sr (0.0000, 0.0000, 0.0000)
Sr (0.5000, 0.5000, 0.0000)
Y (0.1355, 0.3645, 0.0000)
Y (0.6355, 0.1355, 0.0000)
Y (0.8645, 0.6355, 0.0000)
Y (0.3645, 0.8645, 0.0000)

=====

#c
Density functional theory data (GGA-PBE) for a geometry-optimized SrY2Cu2 structure.

a = 8.1752 Å, b = 8.1752 Å, c = 3.8809 Å
α = 90.00°, β = 90.00°, γ = 90.00°
Positions (direct):
Cu (0.3822, 0.8822, 0.0000)
Cu (0.6178, 0.1178, 0.0000)
Cu (0.8822, 0.6178, 0.0000)
Cu (0.1178, 0.3822, 0.0000)
Y (0.6538, 0.8462, 0.5000)
Y (0.8462, 0.3462, 0.5000)
Y (0.3462, 0.1538, 0.5000)
Y (0.1538, 0.6538, 0.5000)
Sr (0.0000, 0.0000, 0.0000)
Sr (0.5000, 0.5000, 0.0000)

=====

#d
Density functional theory data (GGA-PBE) for a geometry-optimized SrY2Cu2 structure.

a = 4.8842 Å, b = 4.8842 Å, c = 6.6432 Å
α = 68.43°, β = 68.43°, γ = 90.00°
Positions (direct):
Cu (0.3920, 0.3920, 0.2160)
Cu (0.6080, 0.6080, 0.7840)
Y (0.7500, 0.2500, 0.5000)
Y (0.2500, 0.7500, 0.5000)
Sr (0.0000, 0.0000, 0.0000)

=====

Ranked by calculated energy, most stable first: #c, #d, #b, #a.

=====

#a
Density functional theory data (GGA-PBE) for a geometry-optimized Sr2YCu structure.

a = 7.1003 Å, b = 7.1003 Å, c = 7.1003 Å
α = 148.80°, β = 130.23°, γ = 59.92°
Positions (direct):
Cu (0.2643, 0.7643, 0.5000)
Sr (0.7477, 0.2477, 0.5000)
Sr (0.0546, 0.0546, 0.0000)
Y (0.4334, 0.4334, 0.0000)

=====

#b
Density functional theory data (GGA-PBE) for a geometry-optimized Sr2YCu structure.

a = 5.7003 Å, b = 5.7003 Å, c = 5.7003 Å
α = 60.00°, β = 60.00°, γ = 60.00°
Positions (direct):
Sr (0.2500, 0.2500, 0.2500)
Sr (0.0000, 0.0000, 0.0000)
Cu (0.5000, 0.5000, 0.5000)
Y (0.7500, 0.7500, 0.7500)

=====

Ranked by calculated energy, most stable first: #a, #b.

=====

#a
Density functional theory data (GGA-PBE) for a geometry-optimized Sr2YCu structure.

a = 9.5919 Å, b = 9.5919 Å, c = 9.5919 Å
α = 157.32°, β = 153.87°, γ = 34.87°
Positions (direct):
Sr (0.0895, 0.0895, 0.0000)
Sr (0.4105, 0.4105, 0.0000)
Cu (0.2500, 0.7500, 0.5000)
Y (0.7500, 0.2500, 0.5000)

=====

#b
Density functional theory data (GGA-PBE) for a geometry-optimized Sr2YCu structure.

a = 10.8470 Å, b = 10.8470 Å, c = 10.8470 Å
α = 21.18°, β = 21.18°, γ = 21.18°
Positions (direct):
Y (0.2500, 0.2500, 0.2500)
Sr (0.4817, 0.4817, 0.4817)
Sr (0.0183, 0.0183, 0.0183)
Cu (0.7500, 0.7500, 0.7500)

=====

#c
Density functional theory data (GGA-PBE) for a geometry-optimized Sr2YCu structure.

a = 4.6179 Å, b = 5.5301 Å, c = 5.2349 Å
α = 90.00°, β = 90.00°, γ = 90.00°
Positions (direct):
Cu (0.0000, 0.5000, 0.5000)
Sr (0.5000, 0.5000, 0.0000)
Sr (0.0000, 0.0000, 0.0000)
Y (0.5000, 0.0000, 0.5000)

=====

Ranked by calculated energy, most stable first: #a, #b, #c.

=====

#a
Density functional theory data (GGA-PBE) for a geometry-optimized Sr2YCu structure.

a = 3.7585 Å, b = 3.7508 Å, c = 10.4049 Å
α = 68.93°, β = 90.00°, γ = 90.00°
Last column: magnetic moment on the atom in μB.
Positions (direct):
Sr (0.0000, 0.4453, 0.5551)  0.01
Sr (0.0000, 0.0547, 0.9449)  0.01
Y (0.5000, 0.2500, 0.2500)  0.21
Cu (0.5000, 0.7500, 0.7500)  0.00

=====

#b
Density functional theory data (GGA-PBE) for a geometry-optimized Sr2YCu structure.

a = 10.6020 Å, b = 10.6020 Å, c = 8.0073 Å
α = 48.55°, β = 48.55°, γ = 90.00°
Positions (direct):
Sr (0.3750, 0.4989, 0.7500)
Sr (0.5011, 0.1250, 0.2500)
Sr (0.8750, 0.7511, 0.7500)
Sr (0.2489, 0.6250, 0.2500)
Cu (0.5000, 0.5000, 0.0000)
Cu (0.2500, 0.7500, 0.5000)
Y (0.7500, 0.2500, 0.5000)
Y (0.0000, 0.0000, 0.0000)

=====

#c
Density functional theory data (GGA-PBE) for a geometry-optimized Sr2YCu structure.

a = 6.5474 Å, b = 6.5474 Å, c = 6.5474 Å
α = 136.12°, β = 136.12°, γ = 63.79°
Positions (direct):
Sr (0.0000, 0.0000, 0.0000)
Sr (0.5000, 0.5000, 0.0000)
Y (0.2500, 0.7500, 0.5000)
Cu (0.7500, 0.2500, 0.5000)

=====

#d
Density functional theory data (GGA-PBE) for a geometry-optimized Sr2YCu structure.

a = 3.7356 Å, b = 3.7501 Å, c = 10.6460 Å
α = 69.44°, β = 90.00°, γ = 90.00°
Positions (direct):
Cu (0.5000, 0.7873, 0.7140)
Sr (0.0000, 0.0721, 0.9278)
Sr (0.5000, 0.2192, 0.2793)
Y (0.0000, 0.4213, 0.5789)

=====

Ranked by calculated energy, most stable first: #d, #a, #b, #c.